First-principles (PBE) data for crystalline Cs2NpVS4 at its relaxed geometry, as listed in the Alexandria database.

Results
total energy	-97.09	eV for the cell shown
uncorrected formation energy	-8.27	eV/f.u.
DOS(E_F)	11.1	states/eV/f.u.

Unit cell a=7.5060 b=7.5060 c=9.9650 alpha=90.00 beta=90.00 gamma=90.00
Last column: nearest neighbours and their distance in Å.
Positions (direct):
Cs 0.0000 0.0000 0.0000  4 S 3.64
Cs 0.0000 0.5000 0.2500  4 S 3.52
Cs 0.5000 0.0000 0.7500  4 S 3.52
Cs 0.5000 0.5000 0.5000  4 S 3.64
Np 0.0000 0.5000 0.7500  4 S 2.62
Np 0.5000 0.0000 0.2500  4 S 2.62
V 0.0000 0.0000 0.5000  4 S 2.29
V 0.5000 0.5000 0.0000  4 S 2.29
S 0.1299 0.7719 0.6180  1 V 2.29
S 0.2281 0.1299 0.3820  1 V 2.29
S 0.2719 0.3701 0.8820  1 V 2.29
S 0.3701 0.7281 0.1180  1 V 2.29
S 0.6299 0.2719 0.1180  1 V 2.29
S 0.7281 0.6299 0.8820  1 V 2.29
S 0.7719 0.8701 0.3820  1 V 2.29
S 0.8701 0.2281 0.6180  1 V 2.29



First-principles (PBE) data for crystalline HgRuBr2 at its relaxed geometry, as listed in the Alexandria database.

Results
total energy	-37.32	eV for the cell shown
uncorrected formation energy	3.59	eV/f.u.
DOS(E_F)	5.4	states/eV/f.u.
energy above the most stable polymorph in this dataset	89.6	kJ per mole of atoms

Unit cell a=7.1997 b=7.1997 c=7.1997 alpha=90.00 beta=90.00 gamma=90.00
Last column: nearest neighbours and their distance in Å.
Positions (direct):
Hg 0.0000 0.0000 0.0000  4 Ru 3.12, 4 Br 3.12
Hg 0.0000 0.5000 0.5000  4 Ru 3.12, 4 Br 3.12
Hg 0.5000 0.0000 0.5000  4 Ru 3.12, 4 Br 3.12
Hg 0.5000 0.5000 0.0000  4 Ru 3.12, 4 Br 3.12
Ru 0.2500 0.2500 0.2500  4 Br 3.12, 4 Hg 3.12
Ru 0.2500 0.7500 0.7500  4 Br 3.12, 4 Hg 3.12
Ru 0.7500 0.2500 0.7500  4 Br 3.12, 4 Hg 3.12
Ru 0.7500 0.7500 0.2500  4 Br 3.12, 4 Hg 3.12
Br 0.0000 0.0000 0.5000  4 Br 3.12, 4 Ru 3.12
Br 0.0000 0.5000 0.0000  4 Br 3.12, 4 Ru 3.12
Br 0.2500 0.2500 0.7500  4 Hg 3.12, 4 Br 3.12
Br 0.2500 0.7500 0.2500  4 Hg 3.12, 4 Br 3.12
Br 0.5000 0.0000 0.0000  4 Br 3.12, 4 Ru 3.12
Br 0.5000 0.5000 0.5000  4 Br 3.12, 4 Ru 3.12
Br 0.7500 0.2500 0.2500  4 Hg 3.12, 4 Br 3.12
Br 0.7500 0.7500 0.7500  4 Hg 3.12, 4 Br 3.12



First-principles (PBE) data for crystalline Tc2Sb2C at its relaxed geometry, as listed in the Alexandria database.

Results
total energy	-62.86	eV for the cell shown
uncorrected formation energy	6.77	eV/f.u.
DOS(E_F)	4.7	states/eV/f.u.
energy above the most stable polymorph in this dataset	0.0	kJ per mole of atoms

Unit cell a=3.4958 b=3.4958 c=15.3079 alpha=90.00 beta=90.00 gamma=90.00
Last column: nearest neighbours and their distance in Å.
Positions (direct):
Tc 0.0000 0.5000 0.2500  4 Tc 2.47
Tc 0.0000 0.5000 0.7500  4 Tc 2.47
Tc 0.5000 0.0000 0.2500  4 Tc 2.47
Tc 0.5000 0.0000 0.7500  4 Tc 2.47
Sb 0.0000 0.0000 0.0982  4 C 2.89, 4 Tc 2.91, 1 Sb 3.01
Sb 0.0000 0.0000 0.9018  4 C 2.89, 4 Tc 2.91, 1 Sb 3.01
Sb 0.5000 0.5000 0.4018  4 C 2.89, 4 Tc 2.91, 1 Sb 3.01
Sb 0.5000 0.5000 0.5982  4 C 2.89, 4 Tc 2.91, 1 Sb 3.01
C 0.0000 0.0000 0.5000  8 Sb 2.89
C 0.5000 0.5000 0.0000  8 Sb 2.89



First-principles (PBE) data for crystalline Zn3Ag12Hg at its relaxed geometry, as listed in the Alexandria database.

Results
total energy	-38.20	eV for the cell shown
DOS(E_F)	4.4	states/eV/f.u.
energy of formation from the pure elements	0.194	kcal/mol of atoms

Unit cell a=4.2170 b=4.2170 c=15.7730 alpha=90.00 beta=90.00 gamma=90.00
Last column: nearest neighbours and their distance in Å.
Positions (direct):
Zn 0.0000 0.0000 0.0000  12 Ag 2.85-2.98
Zn 0.0000 0.0000 0.2442  12 Ag 2.85-2.98
Zn 0.0000 0.0000 0.7558  12 Ag 2.85-2.98
Ag 0.0000 0.5000 0.1220  4 Zn 2.85-2.86, 8 Ag 2.85-2.98
Ag 0.0000 0.5000 0.3662  2 Zn 2.85, 8 Ag 2.86-2.98, 2 Hg 2.98
Ag 0.0000 0.5000 0.6338  2 Zn 2.85, 8 Ag 2.86-2.98, 2 Hg 2.98
Ag 0.0000 0.5000 0.8780  4 Zn 2.85-2.86, 8 Ag 2.85-2.98
Ag 0.5000 0.0000 0.1220  4 Zn 2.85-2.86, 8 Ag 2.85-2.98
Ag 0.5000 0.0000 0.3662  2 Zn 2.85, 8 Ag 2.86-2.98, 2 Hg 2.98
Ag 0.5000 0.0000 0.6338  2 Zn 2.85, 8 Ag 2.86-2.98, 2 Hg 2.98
Ag 0.5000 0.0000 0.8780  4 Zn 2.85-2.86, 8 Ag 2.85-2.98
Ag 0.5000 0.5000 0.0000  8 Ag 2.85, 4 Zn 2.98
Ag 0.5000 0.5000 0.2441  8 Ag 2.86, 4 Zn 2.98
Ag 0.5000 0.5000 0.5000  4 Hg 2.98, 8 Ag 2.98
Ag 0.5000 0.5000 0.7559  8 Ag 2.86, 4 Zn 2.98
Hg 0.0000 0.0000 0.5000  12 Ag 2.98



First-principles (PBE) data for crystalline Nd2Tm2Cu at its relaxed geometry, as listed in the Alexandria database.

Results
total energy	-45.96	eV for the cell shown
DOS(E_F)	7.0	states/eV/f.u.
energy of formation from the pure elements	-1.871	kcal/mol of atoms

Unit cell a=3.5109 b=3.5109 c=22.7890 alpha=90.00 beta=90.00 gamma=90.00
Last column: nearest neighbours and their distance in Å.
Positions (direct):
Nd 0.0000 0.0000 0.1908  8 Nd 3.51-3.67, 4 Tm 3.67
Nd 0.0000 0.0000 0.8092  8 Nd 3.51-3.67, 4 Tm 3.67
Nd 0.5000 0.5000 0.3092  8 Nd 3.51-3.67, 4 Tm 3.67
Nd 0.5000 0.5000 0.6908  8 Nd 3.51-3.67, 4 Tm 3.67
Tm 0.0000 0.0000 0.4278  4 Cu 2.98, 1 Tm 3.29
Tm 0.0000 0.0000 0.5722  4 Cu 2.98, 1 Tm 3.29
Tm 0.5000 0.5000 0.0722  4 Cu 2.98, 1 Tm 3.29
Tm 0.5000 0.5000 0.9278  4 Cu 2.98, 1 Tm 3.29
Cu 0.0000 0.0000 0.0000  8 Tm 2.98
Cu 0.5000 0.5000 0.5000  8 Tm 2.98



First-principles (PBE) data for crystalline BaAc5Tl3 at its relaxed geometry, as listed in the Alexandria database.

Results
total energy	-62.95	eV for the cell shown
DOS(E_F)	8.7	states/eV/f.u.
energy of formation from the pure elements	-4.902	kcal/mol of atoms

Unit cell a=10.2759 b=10.2759 c=7.5891 alpha=90.00 beta=90.00 gamma=120.00
Last column: nearest neighbours and their distance in Å.
Positions (direct):
Ba 0.0000 0.0000 0.0000  2 Ba 3.79, 6 Tl 3.89, 6 Ac 3.96
Ba 0.0000 0.0000 0.5000  2 Ba 3.79, 6 Tl 3.89, 6 Ac 3.96
Ac 0.0000 0.3386 0.2500  5 Tl 3.40-3.80
Ac 0.0000 0.6614 0.7500  5 Tl 3.40-3.80
Ac 0.3333 0.6667 0.0000  8 Ac 3.79-3.89, 6 Tl 3.93
Ac 0.3333 0.6667 0.5000  8 Ac 3.79-3.89, 6 Tl 3.93
Ac 0.3386 0.0000 0.2500  5 Tl 3.40-3.80
Ac 0.3386 0.3386 0.7500  5 Tl 3.40-3.80
Ac 0.6614 0.0000 0.7500  5 Tl 3.40-3.80
Ac 0.6614 0.6614 0.2500  5 Tl 3.40-3.80
Ac 0.6667 0.3333 0.0000  8 Ac 3.79-3.89, 6 Tl 3.93
Ac 0.6667 0.3333 0.5000  8 Ac 3.79-3.89, 6 Tl 3.93
Tl 0.0000 0.3304 0.7500  5 Ac 3.40-3.80
Tl 0.0000 0.6696 0.2500  5 Ac 3.40-3.80
Tl 0.3304 0.0000 0.7500  5 Ac 3.40-3.80
Tl 0.3304 0.3304 0.2500  5 Ac 3.40-3.80
Tl 0.6696 0.0000 0.2500  5 Ac 3.40-3.80
Tl 0.6696 0.6696 0.7500  5 Ac 3.40-3.80



First-principles (PBE) data for crystalline Ho2NpAg3S6 at its relaxed geometry, as listed in the Alexandria database.

Results
total energy	-68.86	eV for the cell shown
uncorrected formation energy	-13.45	eV/f.u.
DOS(E_F)	8.0	states/eV/f.u.

Unit cell a=8.7848 b=8.7848 c=7.5872 alpha=98.83 beta=98.83 gamma=26.51
Last column: nearest neighbours and their distance in Å.
Positions (direct):
Ho 0.1675 0.1675 0.3390  6 S 2.73-2.76
Ho 0.8325 0.8325 0.6610  6 S 2.73-2.76
Np 0.5000 0.5000 0.0000  6 S 2.76-2.80
Ag 0.1584 0.1584 0.8488  6 S 2.73-2.98
Ag 0.5000 0.5000 0.5000  6 S 2.77-2.90
Ag 0.8416 0.8416 0.1512  6 S 2.73-2.98
S 0.0048 0.0048 0.2507  1 Ho 2.76, 2 Np 2.76, 3 Ag 2.77
S 0.3289 0.3289 0.4140  3 Ho 2.73-2.75, 3 Ag 2.87-2.90
S 0.3348 0.3348 0.9068  3 Ag 2.73-2.98, 2 Ho 2.74, 1 Np 2.80
S 0.6652 0.6652 0.0932  3 Ag 2.73-2.98, 2 Ho 2.74, 1 Np 2.80
S 0.6711 0.6711 0.5860  3 Ho 2.73-2.75, 3 Ag 2.87-2.90
S 0.9952 0.9952 0.7493  1 Ho 2.76, 2 Np 2.76, 3 Ag 2.77



First-principles (PBE) data for crystalline Cs2RbAgTe at its relaxed geometry, as listed in the Alexandria database.

Results
total energy	-10.81	eV for the cell shown
uncorrected formation energy	-2.14	eV/f.u.

Unit cell a=7.3337 b=7.3337 c=6.9299 alpha=90.00 beta=90.00 gamma=90.00
Last column: nearest neighbours and their distance in Å.
Positions (direct):
Cs 0.0000 0.5000 0.0000  2 Te 3.67
Cs 0.5000 0.0000 0.0000  2 Te 3.67
Rb 0.0000 0.0000 0.5000  2 Te 3.46
Ag 0.5000 0.5000 0.5000  8 Cs 5.04, 4 Rb 5.19
Te 0.0000 0.0000 0.0000  2 Rb 3.46, 4 Cs 3.67



First-principles (PBE) data for crystalline CaGeBi2F at its relaxed geometry, as listed in the Alexandria database.

Results
total energy	-19.19	eV for the cell shown
uncorrected formation energy	-2.94	eV/f.u.
DOS(E_F)	2.3	states/eV/f.u.
energy above the most stable polymorph in this dataset	0.0	kJ per mole of atoms

Unit cell a=5.1131 b=5.1131 c=4.8037 alpha=90.00 beta=90.00 gamma=90.00
Last column: nearest neighbours and their distance in Å.
Positions (direct):
Ca 0.0000 0.0000 0.0000  8 Bi 3.51, 4 Ge 3.62
Ge 0.5000 0.5000 0.0000  2 F 2.40
Bi 0.0000 0.5000 0.5000  2 F 2.56
Bi 0.5000 0.0000 0.5000  2 F 2.56
F 0.5000 0.5000 0.5000  2 Ge 2.40, 4 Bi 2.56



First-principles (PBE) data for crystalline Pr8IrPt3Cl4 at its relaxed geometry, as listed in the Alexandria database.

Results
total energy	-93.44	eV for the cell shown
uncorrected formation energy	-20.84	eV/f.u.
DOS(E_F)	11.2	states/eV/f.u.

Unit cell a=8.4358 b=8.4358 c=8.9638 alpha=118.12 beta=118.12 gamma=60.02
Last column: nearest neighbours and their distance in Å.
Positions (direct):
Pr 0.2329 0.2329 0.7071  1 Ir 2.85, 2 Pt 2.91
Pr 0.2329 0.7418 0.7071  1 Ir 2.85, 2 Pt 2.91
Pr 0.2582 0.7671 0.2929  1 Ir 2.85, 2 Pt 2.91
Pr 0.2641 0.2641 0.2928  3 Pt 2.89
Pr 0.7359 0.7359 0.7072  3 Pt 2.89
Pr 0.7418 0.2329 0.7071  1 Ir 2.85, 2 Pt 2.91
Pr 0.7671 0.2582 0.2929  1 Ir 2.85, 2 Pt 2.91
Pr 0.7671 0.7671 0.2929  1 Ir 2.85, 2 Pt 2.91
Ir 0.0000 0.0000 0.5000  6 Pr 2.85
Pt 0.0000 0.5000 0.5000  6 Pr 2.89-2.91
Pt 0.5000 0.0000 0.5000  6 Pr 2.89-2.91
Pt 0.5000 0.5000 0.5000  6 Pr 2.89-2.91
Cl 0.0000 0.0000 0.0000  6 Pr 3.27-3.28
Cl 0.0000 0.5000 0.0000  6 Pr 3.26-3.29
Cl 0.5000 0.0000 0.0000  6 Pr 3.26-3.29
Cl 0.5000 0.5000 0.0000  6 Pr 3.31-3.32



First-principles (PBE) data for crystalline YCr2Ir at its relaxed geometry, as listed in the Alexandria database.

Results
total energy	-67.82	eV for the cell shown
DOS(E_F)	2.6	states/eV/f.u.
energy of formation from the pure elements	3.811	kcal/mol of atoms
energy above the most stable polymorph in this dataset	7.7	kJ per mole of atoms

Unit cell a=9.1936 b=3.0514 c=5.2345 alpha=90.00 beta=106.97 gamma=90.00
Last column: nearest neighbours and their distance in Å.
Positions (direct):
Y 0.0000 0.0000 0.0000  3 Ir 2.93-3.02, 7 Cr 3.03-3.13, 2 Y 3.05
Y 0.5000 0.5000 0.0000  3 Ir 2.93-3.02, 7 Cr 3.03-3.13, 2 Y 3.05
Cr 0.2877 0.5000 0.3463  2 Cr 2.41, 2 Ir 2.54
Cr 0.4989 0.0000 0.4991  2 Cr 2.41, 2 Ir 2.60
Cr 0.7877 0.0000 0.3463  2 Cr 2.41, 2 Ir 2.54
Cr 0.9989 0.5000 0.4991  2 Cr 2.41, 2 Ir 2.60
Ir 0.2337 0.0000 0.6961  4 Cr 2.54-2.60
Ir 0.7337 0.5000 0.6961  4 Cr 2.54-2.60



First-principles (PBE) data for crystalline ZrGa3Pd3 at its relaxed geometry, as listed in the Alexandria database.

Results
total energy	-65.21	eV for the cell shown
DOS(E_F)	5.5	states/eV/f.u.
energy of formation from the pure elements	1.991	kcal/mol of atoms

Unit cell a=6.7053 b=6.7053 c=6.7053 alpha=90.00 beta=90.00 gamma=90.00
Last column: nearest neighbours and their distance in Å.
Positions (direct):
Zr 0.0000 0.0000 0.0000  12 Pd 3.75, 12 Ga 3.75
Zr 0.5000 0.5000 0.5000  12 Pd 3.75, 12 Ga 3.75
Ga 0.0000 0.2500 0.5000  4 Pd 2.37
Ga 0.0000 0.7500 0.5000  4 Pd 2.37
Ga 0.2500 0.5000 0.0000  4 Pd 2.37
Ga 0.5000 0.0000 0.2500  4 Pd 2.37
Ga 0.5000 0.0000 0.7500  4 Pd 2.37
Ga 0.7500 0.5000 0.0000  4 Pd 2.37
Pd 0.0000 0.5000 0.2500  4 Ga 2.37
Pd 0.0000 0.5000 0.7500  4 Ga 2.37
Pd 0.2500 0.0000 0.5000  4 Ga 2.37
Pd 0.5000 0.2500 0.0000  4 Ga 2.37
Pd 0.5000 0.7500 0.0000  4 Ga 2.37
Pd 0.7500 0.0000 0.5000  4 Ga 2.37



First-principles (PBE) data for crystalline Nb2CuNi2 at its relaxed geometry, as listed in the Alexandria database.

Results
total energy	-70.01	eV for the cell shown
DOS(E_F)	3.3	states/eV/f.u.
energy of formation from the pure elements	3.651	kcal/mol of atoms
energy above the most stable polymorph in this dataset	21.3	kJ per mole of atoms

Unit cell a=7.4874 b=7.4874 c=2.6879 alpha=90.00 beta=90.00 gamma=90.00
Last column: nearest neighbours and their distance in Å.
Positions (direct):
Nb 0.1682 0.3318 0.0000  6 Ni 2.57-2.59, 2 Nb 2.69, 2 Cu 2.79
Nb 0.3318 0.8318 0.0000  6 Ni 2.57-2.59, 2 Nb 2.69, 2 Cu 2.79
Nb 0.6682 0.1682 0.0000  6 Ni 2.57-2.59, 2 Nb 2.69, 2 Cu 2.79
Nb 0.8318 0.6682 0.0000  6 Ni 2.57-2.59, 2 Nb 2.69, 2 Cu 2.79
Cu 0.0000 0.0000 0.0000  2 Cu 2.69, 4 Nb 2.79
Cu 0.5000 0.5000 0.0000  2 Cu 2.69, 4 Nb 2.79
Ni 0.1247 0.6247 0.5000  6 Nb 2.57-2.59, 3 Ni 2.64-2.69
Ni 0.3753 0.1247 0.5000  6 Nb 2.57-2.59, 3 Ni 2.64-2.69
Ni 0.6247 0.8753 0.5000  6 Nb 2.57-2.59, 3 Ni 2.64-2.69
Ni 0.8753 0.3753 0.5000  6 Nb 2.57-2.59, 3 Ni 2.64-2.69